1.
Density functional theory data (PBE) for Nd2Ho12Th5 after structural relaxation.

Output
Size of the total moment in μB/cell: 0.00
E above lowest polymorph in meV per atom: 0.0

Cell: 11.4845 11.4845 8.6393 Å, 107.79 107.79 35.38°
Last column: nearest neighbours and their distance in Å.
Atoms (fractional coordinates):
Nd 0.2474 0.7526 0.0000  6 Ho 3.39-3.62, 2 Nd 3.45-3.53, 2 Th 3.63
Nd 0.7526 0.2474 0.0000  6 Ho 3.39-3.62, 2 Nd 3.45-3.53, 2 Th 3.63
Ho 0.0473 0.0473 0.6892  3 Ho 3.26-3.62, 1 Th 3.52, 2 Nd 3.61
Ho 0.0480 0.5518 0.2107  7 Ho 3.45-3.62, 4 Th 3.47-3.55
Ho 0.1334 0.6487 0.6188  6 Ho 3.38-3.75, 1 Nd 3.39, 4 Th 3.40-3.41
Ho 0.3486 0.3486 0.9186  3 Th 3.49-3.51, 6 Ho 3.51-3.53, 2 Nd 3.62
Ho 0.3513 0.8666 0.3812  6 Ho 3.38-3.75, 1 Nd 3.39, 4 Th 3.40-3.41
Ho 0.4482 0.9520 0.7893  7 Ho 3.45-3.62, 4 Th 3.47-3.55
Ho 0.5518 0.0480 0.2107  7 Ho 3.45-3.62, 4 Th 3.47-3.55
Ho 0.6487 0.1334 0.6188  6 Ho 3.38-3.75, 1 Nd 3.39, 4 Th 3.40-3.41
Ho 0.6514 0.6514 0.0814  3 Th 3.49-3.51, 6 Ho 3.51-3.53, 2 Nd 3.62
Ho 0.8666 0.3513 0.3812  6 Ho 3.38-3.75, 1 Nd 3.39, 4 Th 3.40-3.41
Ho 0.9520 0.4482 0.7893  7 Ho 3.45-3.62, 4 Th 3.47-3.55
Ho 0.9527 0.9527 0.3108  3 Ho 3.26-3.62, 1 Th 3.52, 2 Nd 3.61
Th 0.1535 0.1535 0.0927  9 Ho 3.40-3.55, 1 Th 3.53, 2 Nd 3.63
Th 0.2515 0.2515 0.5062  9 Ho 3.41-3.53, 3 Th 3.49-3.53
Th 0.5000 0.5000 0.5000  4 Ho 3.40
Th 0.7485 0.7485 0.4938  9 Ho 3.41-3.53, 3 Th 3.49-3.53
Th 0.8465 0.8465 0.9073  9 Ho 3.40-3.55, 1 Th 3.53, 2 Nd 3.63


2.
Density functional theory data (PBE) for Nd5Ho4Th2 after structural relaxation.

Output
E_tot in eV per atom: -5.0579
Size of the total moment in μB/cell: 0.00

Cell: 8.9008 3.5243 11.8629 Å, 90.00 94.35 90.00°
Last column: nearest neighbours and their distance in Å.
Atoms (fractional coordinates):
Nd 0.0000 0.0000 0.0000  6 Nd 3.47-3.52, 4 Ho 3.65
Nd 0.0743 0.0000 0.2916  4 Nd 3.47-3.63, 1 Th 3.48, 6 Ho 3.61-3.76
Nd 0.3086 0.0000 0.8371  1 Th 3.30, 4 Nd 3.48-3.63, 4 Ho 3.61-3.67
Nd 0.6914 0.0000 0.1629  1 Th 3.30, 4 Nd 3.48-3.63, 4 Ho 3.61-3.67
Nd 0.9257 0.0000 0.7084  4 Nd 3.47-3.63, 1 Th 3.48, 6 Ho 3.61-3.76
Ho 0.1989 0.5000 0.5469  3 Ho 3.52-3.63, 4 Th 3.59-3.71, 6 Nd 3.61-3.92
Ho 0.3391 0.5000 0.1087  2 Ho 3.52, 8 Nd 3.61-3.76, 2 Th 3.63
Ho 0.6609 0.5000 0.8913  2 Ho 3.52, 8 Nd 3.61-3.76, 2 Th 3.63
Ho 0.8011 0.5000 0.4531  3 Ho 3.52-3.63, 4 Th 3.59-3.71, 6 Nd 3.61-3.92
Th 0.4597 0.0000 0.3670  3 Th 3.18-3.52, 2 Nd 3.30-3.48
Th 0.5403 0.0000 0.6330  3 Th 3.18-3.52, 2 Nd 3.30-3.48


3.
Density functional theory data (PBE) for Nd6Ho4Th after structural relaxation.

Output
E_tot in eV per atom: -4.7985
Size of the total moment in μB/cell: 0.00

Cell: 5.6803 5.6803 25.9159 Å, 90.00 90.00 117.57°
Last column: nearest neighbours and their distance in Å.
Atoms (fractional coordinates):
Nd 0.0000 0.0000 0.0000  8 Ho 3.24-3.57
Nd 0.0000 0.0000 0.5000  8 Ho 3.24-3.57
Nd 0.0567 0.9433 0.7500  2 Ho 3.27, 3 Th 3.32, 2 Nd 3.64
Nd 0.2963 0.7037 0.0999  7 Ho 3.36-3.74, 1 Nd 3.76
Nd 0.2963 0.7037 0.4001  7 Ho 3.36-3.74, 1 Nd 3.76
Nd 0.3836 0.6164 0.6811  5 Nd 3.57-3.83, 4 Ho 3.57-3.67, 3 Th 3.68-3.81
Nd 0.3836 0.6164 0.8189  5 Nd 3.57-3.83, 4 Ho 3.57-3.67, 3 Th 3.68-3.81
Nd 0.6164 0.3836 0.1811  5 Nd 3.57-3.83, 4 Ho 3.57-3.67, 3 Th 3.68-3.81
Nd 0.6164 0.3836 0.3189  5 Nd 3.57-3.83, 4 Ho 3.57-3.67, 3 Th 3.68-3.81
Nd 0.7037 0.2963 0.5999  7 Ho 3.36-3.74, 1 Nd 3.76
Nd 0.7037 0.2963 0.9001  7 Ho 3.36-3.74, 1 Nd 3.76
Nd 0.9433 0.0567 0.2500  2 Ho 3.27, 3 Th 3.32, 2 Nd 3.64
Ho 0.0491 0.9509 0.6237  6 Nd 3.24-3.57, 1 Ho 3.60
Ho 0.0491 0.9509 0.8763  6 Nd 3.24-3.57, 1 Ho 3.60
Ho 0.3498 0.6502 0.5427  8 Nd 3.47-3.74, 2 Ho 3.60-3.66
Ho 0.3498 0.6502 0.9573  8 Nd 3.47-3.74, 2 Ho 3.60-3.66
Ho 0.6502 0.3498 0.0427  8 Nd 3.47-3.74, 2 Ho 3.60-3.66
Ho 0.6502 0.3498 0.4573  8 Nd 3.47-3.74, 2 Ho 3.60-3.66
Ho 0.9509 0.0491 0.1237  6 Nd 3.24-3.57, 1 Ho 3.60
Ho 0.9509 0.0491 0.3763  6 Nd 3.24-3.57, 1 Ho 3.60
Th 0.2846 0.7154 0.2500  5 Nd 3.32-3.68
Th 0.7154 0.2846 0.7500  5 Nd 3.32-3.68


4.
Density functional theory data (PBE) for Nd2Ho2Th3 after structural relaxation.

Output
E_tot in eV per atom: -5.7756
Size of the total moment in μB/cell: 0.00

Cell: 18.5246 18.5246 3.5536 Å, 90.00 90.00 169.01°
Last column: nearest neighbours and their distance in Å.
Atoms (fractional coordinates):
Nd 0.2077 0.7923 0.0000  6 Nd 3.55-3.59, 4 Ho 3.63
Nd 0.7923 0.2077 0.0000  6 Nd 3.55-3.59, 4 Ho 3.63
Ho 0.3633 0.6367 0.5000  4 Ho 3.55, 4 Th 3.55, 4 Nd 3.63
Ho 0.6367 0.3633 0.5000  4 Ho 3.55, 4 Th 3.55, 4 Nd 3.63
Th 0.0685 0.9315 0.0000  8 Th 3.55-3.56, 4 Ho 3.55
Th 0.5000 0.5000 0.5000  12 Th 3.55-3.56
Th 0.9315 0.0685 0.0000  8 Th 3.55-3.56, 4 Ho 3.55


5.
Density functional theory data (PBE) for Nd6HoTh after structural relaxation.

Output
Size of the total moment in μB/cell: 0.00
E above lowest polymorph in meV per atom: 0.0

Cell: 5.1548 5.1548 10.3137 Å, 90.00 90.00 90.00°
Last column: nearest neighbours and their distance in Å.
Atoms (fractional coordinates):
Nd 0.0000 0.0000 0.0000  8 Nd 3.63, 4 Th 3.64
Nd 0.0000 0.0000 0.5000  4 Ho 3.64, 8 Nd 3.66
Nd 0.0000 0.5000 0.2482  2 Th 3.63, 8 Nd 3.63-3.66, 2 Ho 3.66
Nd 0.0000 0.5000 0.7518  2 Th 3.63, 8 Nd 3.63-3.66, 2 Ho 3.66
Nd 0.5000 0.0000 0.2482  2 Th 3.63, 8 Nd 3.63-3.66, 2 Ho 3.66
Nd 0.5000 0.0000 0.7518  2 Th 3.63, 8 Nd 3.63-3.66, 2 Ho 3.66
Ho 0.5000 0.5000 0.5000  12 Nd 3.64-3.66
Th 0.5000 0.5000 0.0000  12 Nd 3.63-3.64


6.
Density functional theory data (PBE) for NdHo6Th3 after structural relaxation.

Output
Size of the total moment in μB/cell: 0.00
E above lowest polymorph in meV per atom: 34.2

Cell: 13.1473 3.4931 14.2335 Å, 90.00 97.51 90.00°
Last column: nearest neighbours and their distance in Å.
Atoms (fractional coordinates):
Nd 0.1842 0.2500 0.3925  5 Ho 3.42-3.78, 2 Nd 3.49, 4 Th 3.66-3.75
Nd 0.8158 0.7500 0.6075  5 Ho 3.42-3.78, 2 Nd 3.49, 4 Th 3.66-3.75
Ho 0.0754 0.7500 0.6034  3 Th 3.30-3.56, 1 Nd 3.42, 2 Ho 3.49
Ho 0.1287 0.2500 0.0212  9 Ho 3.47-3.79, 3 Th 3.54-3.63
Ho 0.2468 0.2500 0.7960  5 Th 3.46-3.70, 7 Ho 3.49-3.74
Ho 0.2751 0.7500 0.2017  6 Ho 3.32-3.49, 3 Th 3.41-3.49, 2 Nd 3.56
Ho 0.3773 0.7500 0.0003  7 Ho 3.32-3.67, 3 Th 3.42-3.57
Ho 0.4403 0.7500 0.4014  5 Ho 3.34-3.50, 5 Th 3.41-3.55
Ho 0.5597 0.2500 0.5986  5 Ho 3.34-3.50, 5 Th 3.41-3.55
Ho 0.6227 0.2500 0.9997  7 Ho 3.32-3.67, 3 Th 3.42-3.57
Ho 0.7249 0.2500 0.7983  6 Ho 3.32-3.49, 3 Th 3.41-3.49, 2 Nd 3.56
Ho 0.7532 0.7500 0.2040  5 Th 3.46-3.70, 7 Ho 3.49-3.74
Ho 0.8713 0.7500 0.9788  9 Ho 3.47-3.79, 3 Th 3.54-3.63
Ho 0.9246 0.2500 0.3966  3 Th 3.30-3.56, 1 Nd 3.42, 2 Ho 3.49
Th 0.0166 0.7500 0.2063  7 Ho 3.41-3.63, 2 Th 3.49, 2 Nd 3.66
Th 0.3261 0.7500 0.6031  6 Ho 3.30-3.54, 3 Th 3.34-3.49
Th 0.4951 0.7500 0.7997  3 Th 3.34-3.49, 9 Ho 3.42-3.70
Th 0.5049 0.2500 0.2003  3 Th 3.34-3.49, 9 Ho 3.42-3.70
Th 0.6739 0.2500 0.3969  6 Ho 3.30-3.54, 3 Th 3.34-3.49
Th 0.9834 0.2500 0.7937  7 Ho 3.41-3.63, 2 Th 3.49, 2 Nd 3.66


7.
Density functional theory data (PBE) for Nd12Ho3Th after structural relaxation.

Output
E_tot in eV per atom: -4.8713
Size of the total moment in μB/cell: 0.00

Cell: 5.1586 5.1586 20.6014 Å, 90.00 90.00 90.00°
Last column: nearest neighbours and their distance in Å.
Atoms (fractional coordinates):
Nd 0.0000 0.0000 0.0000  8 Nd 3.64, 4 Ho 3.65
Nd 0.0000 0.0000 0.2475  8 Nd 3.61-3.70, 4 Ho 3.65
Nd 0.0000 0.0000 0.5000  8 Nd 3.63, 4 Th 3.65
Nd 0.0000 0.0000 0.7525  8 Nd 3.61-3.70, 4 Ho 3.65
Nd 0.0000 0.5000 0.1250  8 Nd 3.61-3.65, 4 Ho 3.64
Nd 0.0000 0.5000 0.3761  2 Th 3.63, 8 Nd 3.63-3.70, 2 Ho 3.67
Nd 0.0000 0.5000 0.6239  2 Th 3.63, 8 Nd 3.63-3.70, 2 Ho 3.67
Nd 0.0000 0.5000 0.8750  8 Nd 3.61-3.65, 4 Ho 3.64
Nd 0.5000 0.0000 0.1250  8 Nd 3.61-3.65, 4 Ho 3.64
Nd 0.5000 0.0000 0.3761  2 Th 3.63, 8 Nd 3.63-3.70, 2 Ho 3.67
Nd 0.5000 0.0000 0.6239  2 Th 3.63, 8 Nd 3.63-3.70, 2 Ho 3.67
Nd 0.5000 0.0000 0.8750  8 Nd 3.61-3.65, 4 Ho 3.64
Ho 0.5000 0.5000 0.0000  12 Nd 3.64-3.65
Ho 0.5000 0.5000 0.2493  12 Nd 3.64-3.67
Ho 0.5000 0.5000 0.7507  12 Nd 3.64-3.67
Th 0.5000 0.5000 0.5000  12 Nd 3.63-3.65


8.
Density functional theory data (PBE) for NdHo2Th after structural relaxation.

Output
Size of the total moment in μB/cell: 0.00
E above lowest polymorph in meV per atom: 0.0

Cell: 11.7350 11.7350 11.7350 Å, 17.62 17.62 17.62°
Last column: nearest neighbours and their distance in Å.
Atoms (fractional coordinates):
Nd 0.0000 0.0000 0.0000  6 Nd 3.59, 6 Ho 3.61-3.65
Ho 0.2479 0.2479 0.2479  3 Th 3.48, 6 Ho 3.59, 3 Nd 3.61
Ho 0.4199 0.4199 0.4199  3 Th 3.48, 6 Ho 3.59, 3 Nd 3.65
Th 0.8341 0.8341 0.8341  6 Ho 3.48, 6 Th 3.59


Number 1: V 625 Å³ per cell. Number 2: V 371 Å³ per cell. Number 3: V 741 Å³ per cell. Number 4: V 232 Å³ per cell. Number 5: V 274 Å³ per cell. Number 6: V 648 Å³ per cell. Number 7: V 548 Å³ per cell. Number 8: V 129 Å³ per cell.